Cs2K2RuO6: optimized geometry, PBE-GGA.

Output
- volume (Å³ per atom) = 21.27
- total magnetization (μB/cell) = 0.323
- energy relative to the elements, uncorrected (eV/atom) = -1.14

```
data_Cs2K2RuO6
_chemical_formula_sum 'Cs4 K4 Ru2 O12'
_cell_length_a 6.643
_cell_length_b 10.775
_cell_length_c 6.851
_cell_angle_alpha 90.00
_cell_angle_beta 107.46
_cell_angle_gamma 90.00
_symmetry_space_group_name_H-M 'C 1 2/m 1'
_symmetry_Int_Tables_number 12
_symmetry_space_group_name_Hall '-C 2y'
loop_
_atom_site_label
_atom_site_type_symbol
_atom_site_fract_x
_atom_site_fract_y
_atom_site_fract_z
Cs1 Cs 0.000 0.173 0.000
K1 K 0.000 0.343 0.500
Ru1 Ru 0.000 0.000 0.500
O1 O 0.172 0.125 0.664
O2 O 0.177 0.000 0.325
```